Material: Zr2CrIn
Method: DFT, GGA-PBE
State: relaxed

Lattice parameters (Å, degrees): 10.367 3.096 5.288 90.00 97.33 90.00
Space group C2/m (No. 12)
Symmetry-distinct sites (fractional):
Zr 0.245 0.000 0.252
Cr 0.000 0.000 0.500
In 0.000 0.500 0.000

## Properties
For the mass density, the calculation gives 6.89 Mg/m³. The size of the total moment comes out at 6.793 Bohr magnetons per cell. As for the energy: -57.32 eV for the cell shown. As for the formation energy: 199 meV per atom.

Material: ZrCr2In
Method: DFT, GGA-PBE
State: relaxed

Lattice parameters (Å, degrees): 3.054 3.054 7.375 90.00 90.00 90.00
Space group P4mm (No. 99)
Symmetry-distinct sites (fractional):
Zr 0.000 0.000 0.000
Cr 0.000 0.000 0.417
Cr 0.500 0.500 0.261
In 0.500 0.500 0.679

## Properties
For the mass density, the calculation gives 7.49 Mg/m³. The size of the total moment comes out at 0.944 Bohr magnetons per cell. As for the energy: -30.38 eV for the cell shown. As for the formation energy: 39 meV per atom.

Material: ZrCrIn4
Method: DFT, GGA-PBE
State: relaxed

Lattice parameters (Å, degrees): 8.212 8.212 8.212 90.00 90.00 90.00
Space group F-43m (No. 216)
Symmetry-distinct sites (fractional):
Zr 0.000 0.000 0.000
Cr 0.250 0.250 0.750
In 0.125 0.125 0.375

## Properties
For the mass density, the calculation gives 7.23 Mg/m³. The size of the total moment comes out at 11.316 Bohr magnetons per cell. As for the energy: -107.36 eV for the cell shown. As for the formation energy: 381 meV per atom.

Material: ZrCr2In
Method: DFT, GGA-PBE
State: relaxed

Lattice parameters (Å, degrees): 3.1270 3.1270 27.2581 90.00 90.00 120.00
Space group R-3m (No. 166, hexagonal axes)
Symmetry-distinct sites (fractional):
Zr 0.0000 0.0000 0.0000
Cr 0.0000 0.0000 0.2518
In 0.0000 0.0000 0.5000

## Properties
For the mass density, the calculation gives 6.69 Mg/m³. The size of the total moment comes out at 17.266 Bohr magnetons per cell. As for the energy: -85.37 eV for the cell shown. As for the formation energy: 519 meV per atom.

Material: ZrCrIn2
Method: DFT, GGA-PBE
State: relaxed

Lattice parameters (Å, degrees): 3.274 3.274 7.810 90.00 90.00 90.00
Space group P4mm (No. 99)
Symmetry-distinct sites (fractional):
Zr 0.000 0.000 0.000
Cr 0.500 0.500 0.213
In 0.000 0.000 0.423
In 0.500 0.500 0.723

## Properties
For the mass density, the calculation gives 7.39 Mg/m³. For the energy above the most stable polymorph in this dataset, the calculation gives 140 meV per atom. The size of the total moment comes out at 2.216 Bohr magnetons per cell. As for the energy: -23.01 eV for the cell shown. As for the formation energy: 160 meV per atom.

Material: Zr2CrIn
Method: DFT, GGA-PBE
State: relaxed

Lattice parameters (Å, degrees): 4.405 4.405 4.205 90.00 90.00 90.00
Space group P4/mmm (No. 123)
Symmetry-distinct sites (fractional):
Zr 0.000 0.500 0.000
Cr 0.000 0.000 0.500
In 0.500 0.500 0.500

## Properties
For the mass density, the calculation gives 7.11 Mg/m³. The size of the total moment comes out at 2.238 Bohr magnetons per cell. As for the energy: -29.41 eV for the cell shown. As for the formation energy: 12 meV per atom.

Material: Zr2CrIn
Method: DFT, GGA-PBE
State: relaxed

Lattice parameters (Å, degrees): 4.346 4.346 8.692 90.00 90.00 90.00
Space group I4/mmm (No. 139)
Symmetry-distinct sites (fractional):
Zr 0.000 0.500 0.250
Cr 0.000 0.000 0.000
In 0.000 0.000 0.500

## Properties
For the mass density, the calculation gives 7.06 Mg/m³. The size of the total moment comes out at 4.964 Bohr magnetons per cell. As for the energy: -58.80 eV for the cell shown. As for the formation energy: 15 meV per atom.

Material: ZrCrIn2
Method: DFT, GGA-PBE
State: relaxed

Lattice parameters (Å, degrees): 3.334 4.016 6.289 90.00 90.00 90.00
Space group Pmm2 (No. 25)
Symmetry-distinct sites (fractional):
Zr 0.000 0.000 0.000
Cr 0.500 0.500 0.208
In 0.000 0.000 0.467
In 0.500 0.500 0.734

## Properties
For the mass density, the calculation gives 7.35 Mg/m³. For the energy above the most stable polymorph in this dataset, the calculation gives 128 meV per atom. The size of the total moment comes out at 2.591 Bohr magnetons per cell. As for the energy: -23.06 eV for the cell shown. As for the formation energy: 148 meV per atom.

The lowest mass density belongs to which entry? number 4